1.
Computed, not measured: an optimized crystal structure of LaPuTlAu at the PBE level of DFT.

Cell lengths 5.4050, 5.4050, 5.4050 Å; angles 60.00, 60.00, 60.00 degrees
Positions (direct):
La  0.0000  0.0000  0.0000
Pu  0.5000  0.5000  0.5000
Tl  0.2500  0.2500  0.2500
Au  0.7500  0.7500  0.7500



2.
Computed, not measured: an optimized crystal structure of AsPAu2 at the PBE level of DFT.

Cell lengths 3.8797, 3.9744, 4.7186 Å; angles 90.00, 90.00, 90.00 degrees
Positions (direct):
As  0.0000  0.0000  0.0000
P  0.5000  0.5000  0.0000
Au  0.0000  0.5000  0.5000
Au  0.5000  0.0000  0.5000

Summary:
ΔE to the lowest computed polymorph = 251 meV/atom



3.
Computed, not measured: an optimized crystal structure of RbBa2ScZn at the PBE level of DFT.

Cell lengths 6.4456, 6.4456, 5.4059 Å; angles 90.00, 90.00, 90.00 degrees
Positions (direct):
Rb  0.0000  0.0000  0.0000
Ba  0.0000  0.5000  0.0000
Ba  0.5000  0.0000  0.0000
Sc  0.0000  0.0000  0.5000
Zn  0.5000  0.5000  0.5000



4.
Computed, not measured: an optimized crystal structure of SrPm3Pd at the PBE level of DFT.

Cell lengths 5.7233, 5.7233, 5.7233 Å; angles 90.00, 90.00, 90.00 degrees
Positions (direct):
Sr  0.0000  0.0000  0.0000
Pm  0.0000  0.5000  0.5000
Pm  0.5000  0.0000  0.5000
Pm  0.5000  0.5000  0.0000
Pd  0.5000  0.5000  0.5000



Computed energy relative to the elements, in the same sequence as the records: -0.33, 0.37, 1.11, -0.13 eV per atom.
Computed VASP energy, in the same sequence as the records: -6.559, -3.781, -1.370, -4.353 eV per atom.